(1)
The following is a DFT calculation (SCAN) of a crystal of CuReSb2 relaxed with PBEsol.

Computed properties:
- Total magnetic moment: 0.0 Bohr magnetons per cell
- Energy above the lowest structure with this stoichiometry: 0.0 meV/atom
- E: -1.45420 Ha/atom

a b c (Å): 4.480 4.480 7.031
angles (deg): 90.00 90.00 90.00
Space group I4/mmm (No. 139)
Inequivalent atoms, fractional coordinates:
1 Cu 0.000 0.000 0.000 [2 per cell]
2 Re 0.000 0.000 0.500 [2 per cell]
3 Sb 0.000 0.500 0.250 [4 per cell]


(2)
The following is a DFT calculation (SCAN) of a crystal of ZrCd3N relaxed with PBEsol.

Computed properties:
- Total magnetic moment: 0.9 Bohr magnetons per cell
- E: -0.90182 Ha/atom

a b c (Å): 5.674 5.674 5.674
angles (deg): 90.00 90.00 90.00
Space group Pm-3m (No. 221)
Inequivalent atoms, fractional coordinates:
1 Zr 0.000 0.000 0.000 [1 per cell]
2 Cd 0.000 0.000 0.500 [3 per cell]
3 N 0.500 0.500 0.500 [1 per cell]


(3)
The following is a DFT calculation (SCAN) of a crystal of TaMn2Cu relaxed with PBEsol.

Computed properties:
- Total magnetic moment: 10.1 Bohr magnetons per cell
- E: -1.08907 Ha/atom
- Energy relative to the elements: -0.062 eV per atom

a b c (Å): 3.650 3.650 7.827
angles (deg): 90.00 90.00 90.00
Space group I-4m2 (No. 119)
Inequivalent atoms, fractional coordinates:
1 Ta 0.000 0.000 0.000 [2 per cell]
2 Mn 0.000 0.000 0.500 [2 per cell]
3 Mn 0.000 0.500 0.250 [2 per cell]
4 Cu 0.000 0.500 0.750 [2 per cell]


(4)
The following is a DFT calculation (SCAN) of a crystal of PCl2 relaxed with PBEsol.

Computed properties:
- Total magnetic moment: 0.0 Bohr magnetons per cell
- E: -0.33109 Ha/atom

a b c (Å): 13.356 3.393 6.776
angles (deg): 90.00 109.09 90.00
Space group C2/m (No. 12)
Inequivalent atoms, fractional coordinates:
1 P 0.023 0.000 0.203 [4 per cell]
2 Cl 0.103 0.500 0.791 [4 per cell]
3 Cl 0.156 0.500 0.265 [4 per cell]


(5)
The following is a DFT calculation (SCAN) of a crystal of MgPt3O relaxed with PBEsol.

Computed properties:
- Total magnetic moment: 0.0 Bohr magnetons per cell
- E: -1.62524 Ha/atom

a b c (Å): 4.224 4.224 4.224
angles (deg): 90.00 90.00 90.00
Space group Pm-3m (No. 221)
Inequivalent atoms, fractional coordinates:
1 Mg 0.000 0.000 0.000 [1 per cell]
2 Pt 0.000 0.500 0.500 [3 per cell]
3 O 0.500 0.500 0.500 [1 per cell]


(6)
The following is a DFT calculation (SCAN) of a crystal of AlInAg2 relaxed with PBEsol.

Computed properties:
- Total magnetic moment: 0.0 Bohr magnetons per cell
- E: -0.95466 Ha/atom
- Energy relative to the elements: -0.010 eV per atom

a b c (Å): 3.0353 3.0353 27.1038
angles (deg): 90.00 90.00 120.00
Space group R-3m (No. 166, hexagonal axes)
Inequivalent atoms, fractional coordinates:
1 Al 0.0000 0.0000 0.0000 [3 per cell]
2 In 0.0000 0.0000 0.5000 [3 per cell]
3 Ag 0.0000 0.0000 0.2563 [6 per cell]


(7)
The following is a DFT calculation (SCAN) of a crystal of RbTl3Se relaxed with PBEsol.

Computed properties:
- Total magnetic moment: 0.0 Bohr magnetons per cell
- Energy above the lowest structure with this stoichiometry: 777.3 meV/atom
- E: -1.86796 Ha/atom

a b c (Å): 6.097 6.097 6.097
angles (deg): 90.00 90.00 90.00
Space group Pm-3m (No. 221)
Inequivalent atoms, fractional coordinates:
1 Rb 0.000 0.000 0.000 [1 per cell]
2 Tl 0.000 0.000 0.500 [3 per cell]
3 Se 0.500 0.500 0.500 [1 per cell]


(8)
The following is a DFT calculation (SCAN) of a crystal of YAsWBr2 relaxed with PBEsol.

Computed properties:
- Total magnetic moment: 2.0 Bohr magnetons per cell
- E: -1.14128 Ha/atom

a b c (Å): 4.990 4.990 4.913
angles (deg): 90.00 90.00 90.00
Space group P4/mmm (No. 123)
Inequivalent atoms, fractional coordinates:
1 Y 0.000 0.000 0.000 [1 per cell]
2 As 0.500 0.500 0.000 [1 per cell]
3 W 0.500 0.500 0.500 [1 per cell]
4 Br 0.000 0.500 0.500 [2 per cell]


(9)
The following is a DFT calculation (SCAN) of a crystal of PdPtCl2 relaxed with PBEsol.

Computed properties:
- Total magnetic moment: 3.9 Bohr magnetons per cell
- Energy above the lowest structure with this stoichiometry: 181.5 meV/atom
- E: -1.08110 Ha/atom

a b c (Å): 3.2911 3.2911 23.6078
angles (deg): 90.00 90.00 120.00
Space group R-3m (No. 166, hexagonal axes)
Inequivalent atoms, fractional coordinates:
1 Pd 0.0000 0.0000 0.0000 [3 per cell]
2 Pt 0.0000 0.0000 0.5000 [3 per cell]
3 Cl 0.0000 0.0000 0.0958 [6 per cell]


(10)
The following is a DFT calculation (SCAN) of a crystal of TaZnIn2 relaxed with PBEsol.

Computed properties:
- Total magnetic moment: 0.0 Bohr magnetons per cell
- E: -1.33675 Ha/atom
- Energy relative to the elements: 0.343 eV per atom

a b c (Å): 2.936 5.084 5.188
angles (deg): 90.00 90.00 90.00
Space group Pmmm (No. 47)
Inequivalent atoms, fractional coordinates:
1 Ta 0.000 0.000 0.000 [1 per cell]
2 Zn 0.500 0.000 0.500 [1 per cell]
3 In 0.000 0.500 0.500 [1 per cell]
4 In 0.500 0.500 0.000 [1 per cell]


(11)
The following is a DFT calculation (SCAN) of a crystal of H2OsPt relaxed with PBEsol.

Computed properties:
- Total magnetic moment: 0.0 Bohr magnetons per cell
- E: -1.32955 Ha/atom

a b c (Å): 5.265 5.265 5.265
angles (deg): 90.00 90.00 90.00
Space group Fm-3m (No. 225)
Inequivalent atoms, fractional coordinates:
1 H 0.250 0.250 0.250 [8 per cell]
2 Os 0.000 0.000 0.000 [4 per cell]
3 Pt 0.000 0.000 0.500 [4 per cell]


(12)
The following is a DFT calculation (SCAN) of a crystal of LiAlAg2 relaxed with PBEsol.

Computed properties:
- Total magnetic moment: 0.0 Bohr magnetons per cell
- E: -0.67791 Ha/atom
- Energy relative to the elements: -0.228 eV per atom

a b c (Å): 3.756 3.905 8.350
angles (deg): 90.00 90.00 90.00
Space group Imm2 (No. 44)
Inequivalent atoms, fractional coordinates:
1 Li 0.000 0.000 0.000 [2 per cell]
2 Al 0.000 0.500 0.248 [2 per cell]
3 Ag 0.000 0.000 0.501 [2 per cell]
4 Ag 0.000 0.500 0.750 [2 per cell]


(13)
The following is a DFT calculation (SCAN) of a crystal of Ti2Sb2Pb4O13 relaxed with PBEsol.

Computed properties:
- Total magnetic moment: 0.0 Bohr magnetons per cell
- E: -0.93204 Ha/atom

a b c (Å): 7.343 7.388 10.442
angles (deg): 90.00 90.00 90.00
Space group Imm2 (No. 44)
Inequivalent atoms, fractional coordinates:
1 Ti 0.249 0.000 0.000 [4 per cell]
2 Sb 0.000 0.251 0.747 [4 per cell]
3 Pb 0.000 0.260 0.255 [4 per cell]
4 Pb 0.243 0.500 0.002 [4 per cell]
5 O 0.000 0.000 0.055 [2 per cell]
6 O 0.000 0.000 0.378 [2 per cell]
7 O 0.000 0.000 0.672 [2 per cell]
8 O 0.000 0.500 0.429 [2 per cell]
9 O 0.000 0.500 0.820 [2 per cell]
10 O 0.192 0.308 0.620 [8 per cell]
11 O 0.199 0.198 0.871 [8 per cell]


(14)
The following is a DFT calculation (SCAN) of a crystal of BaAs2Cl relaxed with PBEsol.

Computed properties:
- Total magnetic moment: 0.9 Bohr magnetons per cell
- Energy above the lowest structure with this stoichiometry: 345.1 meV/atom
- E: -0.83937 Ha/atom

a b c (Å): 4.710 4.710 5.916
angles (deg): 90.00 90.00 90.00
Space group P4/mmm (No. 123)
Inequivalent atoms, fractional coordinates:
1 Ba 0.000 0.000 0.000 [1 per cell]
2 As 0.500 0.500 0.190 [2 per cell]
3 Cl 0.000 0.000 0.500 [1 per cell]


(15)
The following is a DFT calculation (SCAN) of a crystal of Ca2NiBr relaxed with PBEsol.

Computed properties:
- Total magnetic moment: 0.0 Bohr magnetons per cell
- Energy above the lowest structure with this stoichiometry: 0.0 meV/atom
- E: -0.53060 Ha/atom

a b c (Å): 4.906 4.914 7.553
angles (deg): 90.00 90.00 90.00
Space group Cmmm (No. 65)
Inequivalent atoms, fractional coordinates:
1 Ca 0.000 0.000 0.213 [4 per cell]
2 Ni 0.000 0.500 0.000 [2 per cell]
3 Br 0.000 0.500 0.500 [2 per cell]


(16)
The following is a DFT calculation (SCAN) of a crystal of IrPbW2 relaxed with PBEsol.

Computed properties:
- Total magnetic moment: 0.0 Bohr magnetons per cell
- E: -2.59754 Ha/atom
- Energy relative to the elements: 0.881 eV per atom

a b c (Å): 6.462 6.462 6.462
angles (deg): 90.00 90.00 90.00
Space group F-43m (No. 216)
Inequivalent atoms, fractional coordinates:
1 Ir 0.000 0.000 0.000 [4 per cell]
2 Pb 0.250 0.250 0.250 [4 per cell]
3 W 0.000 0.000 0.500 [4 per cell]
4 W 0.250 0.250 0.750 [4 per cell]


(17)
The following is a DFT calculation (SCAN) of a crystal of Cr2TeRuCl relaxed with PBEsol.

Computed properties:
- Total magnetic moment: 6.0 Bohr magnetons per cell
- E: -0.81522 Ha/atom

a b c (Å): 4.105 4.105 5.284
angles (deg): 90.00 90.00 90.00
Space group P4/mmm (No. 123)
Inequivalent atoms, fractional coordinates:
1 Cr 0.000 0.500 0.000 [2 per cell]
2 Te 0.000 0.000 0.500 [1 per cell]
3 Ru 0.500 0.500 0.500 [1 per cell]
4 Cl 0.000 0.000 0.000 [1 per cell]


(18)
The following is a DFT calculation (SCAN) of a crystal of CuGeAs2 relaxed with PBEsol.

Computed properties:
- Total magnetic moment: 0.0 Bohr magnetons per cell
- E: -0.68633 Ha/atom
- Energy relative to the elements: -0.009 eV per atom

a b c (Å): 5.557 5.557 10.912
angles (deg): 90.00 90.00 90.00
Space group I-42d (No. 122)
Inequivalent atoms, fractional coordinates:
1 Cu 0.000 0.000 0.000 [4 per cell]
2 Ge 0.000 0.000 0.500 [4 per cell]
3 As 0.231 0.250 0.125 [8 per cell]


(19)
The following is a DFT calculation (SCAN) of a crystal of SrTaMn2Zn relaxed with PBEsol.

Computed properties:
- Total magnetic moment: 7.7 Bohr magnetons per cell
- E: -0.93223 Ha/atom
- Energy relative to the elements: 2.410 eV per atom

a b c (Å): 4.687 4.687 5.022
angles (deg): 90.00 90.00 90.00
Space group P4/mmm (No. 123)
Inequivalent atoms, fractional coordinates:
1 Sr 0.000 0.000 0.000 [1 per cell]
2 Ta 0.000 0.000 0.500 [1 per cell]
3 Mn 0.000 0.500 0.000 [2 per cell]
4 Zn 0.500 0.500 0.500 [1 per cell]


(20)
The following is a DFT calculation (SCAN) of a crystal of Mn2ReSb relaxed with PBEsol.

Computed properties:
- Total magnetic moment: 2.0 Bohr magnetons per cell
- E: -1.32045 Ha/atom

a b c (Å): 3.065 3.065 5.963
angles (deg): 90.00 90.00 90.00
Space group P4mm (No. 99)
Inequivalent atoms, fractional coordinates:
1 Mn 0.000 0.000 0.000 [1 per cell]
2 Mn 0.500 0.500 0.230 [1 per cell]
3 Re 0.000 0.000 0.468 [1 per cell]
4 Sb 0.500 0.500 0.760 [1 per cell]


(21)
The following is a DFT calculation (SCAN) of a crystal of RbCd2Hg2 relaxed with PBEsol.

Computed properties:
- Total magnetic moment: 0.0 Bohr magnetons per cell
- E: -1.60886 Ha/atom
- Energy relative to the elements: -0.199 eV per atom

a b c (Å): 4.787 4.787 12.455
angles (deg): 90.00 90.00 90.00
Space group I4/mmm (No. 139)
Inequivalent atoms, fractional coordinates:
1 Rb 0.000 0.000 0.000 [2 per cell]
2 Cd 0.000 0.500 0.250 [4 per cell]
3 Hg 0.000 0.000 0.384 [4 per cell]


(22)
The following is a DFT calculation (SCAN) of a crystal of InTcAg relaxed with PBEsol.

Computed properties:
- Total magnetic moment: 0.0 Bohr magnetons per cell
- Energy above the lowest structure with this stoichiometry: 0.0 meV/atom
- E: -1.20415 Ha/atom
- Energy relative to the elements: 0.505 eV per atom

a b c (Å): 2.772 4.197 8.651
angles (deg): 90.00 90.00 90.00
Space group Imm2 (No. 44)
Inequivalent atoms, fractional coordinates:
1 In 0.000 0.000 0.000 [2 per cell]
2 Tc 0.000 0.000 0.666 [2 per cell]
3 Ag 0.000 0.000 0.328 [2 per cell]


(23)
The following is a DFT calculation (SCAN) of a crystal of BAs2OsSe relaxed with PBEsol.

Computed properties:
- Total magnetic moment: 0.0 Bohr magnetons per cell
- E: -0.97283 Ha/atom

a b c (Å): 4.608 4.608 5.275
angles (deg): 90.00 90.00 90.00
Space group P4/mmm (No. 123)
Inequivalent atoms, fractional coordinates:
1 B 0.000 0.000 0.000 [1 per cell]
2 As 0.000 0.500 0.500 [2 per cell]
3 Os 0.500 0.500 0.500 [1 per cell]
4 Se 0.500 0.500 0.000 [1 per cell]


(24)
The following is a DFT calculation (SCAN) of a crystal of NiPRu relaxed with PBEsol.

Computed properties:
- Total magnetic moment: 0.0 Bohr magnetons per cell
- E: -0.77369 Ha/atom
- Energy relative to the elements: -0.587 eV per atom

a b c (Å): 5.326 5.326 5.326
angles (deg): 90.00 90.00 90.00
Space group F-43m (No. 216)
Inequivalent atoms, fractional coordinates:
1 Ni 0.000 0.000 0.000 [4 per cell]
2 P 0.250 0.250 0.750 [4 per cell]
3 Ru 0.000 0.000 0.500 [4 per cell]


(25)
The following is a DFT calculation (SCAN) of a crystal of CoGe3Sb relaxed with PBEsol.

Computed properties:
- Total magnetic moment: 0.0 Bohr magnetons per cell
- E: -0.81332 Ha/atom

a b c (Å): 4.562 4.562 4.562
angles (deg): 90.00 90.00 90.00
Space group Pm-3m (No. 221)
Inequivalent atoms, fractional coordinates:
1 Co 0.000 0.000 0.000 [1 per cell]
2 Ge 0.000 0.000 0.500 [3 per cell]
3 Sb 0.500 0.500 0.500 [1 per cell]


(26)
The following is a DFT calculation (SCAN) of a crystal of HfFeMoBr2 relaxed with PBEsol.

Computed properties:
- Total magnetic moment: 1.2 Bohr magnetons per cell
- E: -1.08986 Ha/atom

a b c (Å): 4.846 4.846 4.429
angles (deg): 90.00 90.00 90.00
Space group P4/mmm (No. 123)
Inequivalent atoms, fractional coordinates:
1 Hf 0.000 0.000 0.000 [1 per cell]
2 Fe 0.500 0.500 0.000 [1 per cell]
3 Mo 0.500 0.500 0.500 [1 per cell]
4 Br 0.000 0.500 0.500 [2 per cell]


(27)
The following is a DFT calculation (SCAN) of a crystal of Zn2RePb relaxed with PBEsol.

Computed properties:
- Total magnetic moment: 0.0 Bohr magnetons per cell
- E: -1.57347 Ha/atom
- Energy relative to the elements: 0.661 eV per atom

a b c (Å): 3.0189 3.0189 26.5171
angles (deg): 90.00 90.00 120.00
Space group R3m (No. 160, hexagonal axes)
Inequivalent atoms, fractional coordinates:
1 Zn 0.0000 0.0000 0.0000 [3 per cell]
2 Zn 0.0000 0.0000 0.2604 [3 per cell]
3 Re 0.0000 0.0000 0.5191 [3 per cell]
4 Pb 0.0000 0.0000 0.7640 [3 per cell]


(28)
The following is a DFT calculation (SCAN) of a crystal of InI2Br relaxed with PBEsol.

Computed properties:
- Total magnetic moment: 0.0 Bohr magnetons per cell
- E: -1.18425 Ha/atom

a b c (Å): 7.009 7.117 7.823
angles (deg): 90.85 115.14 119.40
Space group P1 (No. 1)
Inequivalent atoms, fractional coordinates:
1 In 0.000 0.000 0.000 [1 per cell]
2 In 0.337 0.670 0.003 [1 per cell]
3 I 0.178 0.256 0.755 [1 per cell]
4 I 0.187 0.417 0.259 [1 per cell]
5 I 0.504 0.920 0.753 [1 per cell]
6 I 0.842 0.589 0.752 [1 per cell]
7 Br 0.445 0.040 0.231 [1 per cell]
8 Br 0.816 0.779 0.230 [1 per cell]


(29)
The following is a DFT calculation (SCAN) of a crystal of Nb3AlBr relaxed with PBEsol.

Computed properties:
- Total magnetic moment: 1.1 Bohr magnetons per cell
- Energy above the lowest structure with this stoichiometry: 0.0 meV/atom
- E: -0.89160 Ha/atom

a b c (Å): 4.685 4.685 4.685
angles (deg): 90.00 90.00 90.00
Space group Pm-3m (No. 221)
Inequivalent atoms, fractional coordinates:
1 Nb 0.000 0.000 0.500 [3 per cell]
2 Al 0.500 0.500 0.500 [1 per cell]
3 Br 0.000 0.000 0.000 [1 per cell]